Entry from the Alexandria database: crystalline BaVGaO4 at its relaxed geometry (GGA+U).

a b c (Å): 6.0200 6.0200 6.0200
angles (deg): 60.00 60.00 60.00
Element x y z (fractional)
V 0.5000 0.5000 0.5000
Ba 0.7500 0.7500 0.7500
O 0.3732 0.3732 0.3732
O 0.3732 0.3732 0.8804
O 0.8804 0.3732 0.3732
O 0.3732 0.8804 0.3732
Ga 0.2500 0.2500 0.2500

Output
Crystal system ... cubic
Electronic total energy ... -45.4 eV for the cell shown